Compound: KSm2PaSe5
Source: Alexandria
Functional: PBE
Structure: relaxed

## Properties
DOS at the Fermi energy, states/eV per cell: 11.33
Uncorrected formation energy, eV/f.u.: -13.47
E_tot, eV/atom: -5.658
Crystal system: orthorhombic

```
data_KSm2PaSe5
_chemical_formula_sum 'K2 Sm4 Pa2 Se10'
_symmetry_space_group_name_H-M 'I m m m'
_symmetry_Int_Tables_number 71
_symmetry_space_group_name_Hall '-I 2 2'
_cell_length_a 5.304
_cell_length_b 7.505
_cell_length_c 14.327
_cell_angle_alpha 90.00
_cell_angle_beta 90.00
_cell_angle_gamma 90.00
loop_
_atom_site_label
_atom_site_type_symbol
_atom_site_fract_x
_atom_site_fract_y
_atom_site_fract_z
K1 K 0.000 0.000 0.000
Sm1 Sm 0.000 0.500 0.202
Pa1 Pa 0.000 0.000 0.500
Se1 Se 0.000 0.241 0.349
Se2 Se 0.000 0.500 0.000
```